A plane-wave DFT calculation with PBE was carried out for a geometry-optimized Ca2ReIr2 structure.

Cell: 9.5203 9.5203 9.5203 Å, 158.78 158.78 30.19°
With the nearest neighbours (Å) after each atom.
Positions (direct):
Ca: 0.1072 0.1072 0.0000  4 Ir 3.16, 4 Re 3.17, 4 Ca 3.51
Ca: 0.8928 0.8928 0.0000  4 Ir 3.16, 4 Re 3.17, 4 Ca 3.51
Re: 0.5000 0.5000 0.0000  8 Ca 3.17, 4 Re 3.51
Ir: 0.2500 0.7500 0.5000  4 Ir 2.48
Ir: 0.7500 0.2500 0.5000  4 Ir 2.48

Results
**VASP energy**: -30.7 eV for the cell shown
**Space-group type**: I4/mmm, No. 139
**Magnetization**: 1.51 μB per formula unit
**Energy of formation**: 0.69 eV per atom
**Excess energy over the best structure of this formula in the dataset**: 821 meV/atom

---

A plane-wave DFT calculation with PBE was carried out for a geometry-optimized SrZn4Au2 structure.

Cell: 6.2030 6.2030 6.2030 Å, 118.38 118.38 92.82°
With the nearest neighbours (Å) after each atom.
Positions (direct):
Sr: 0.0000 0.0000 0.0000  8 Zn 3.48, 8 Au 3.83
Zn: 0.2228 0.5000 0.7228  2 Zn 2.49, 2 Au 2.56
Zn: 0.5000 0.2228 0.7228  2 Zn 2.49, 2 Au 2.56
Zn: 0.5000 0.7772 0.2772  2 Zn 2.49, 2 Au 2.56
Zn: 0.7772 0.5000 0.2772  2 Zn 2.49, 2 Au 2.56
Au: 0.2500 0.7500 0.5000  4 Zn 2.56
Au: 0.7500 0.2500 0.5000  4 Zn 2.56

Results
**VASP energy**: -14.2 eV for the cell shown
**Space-group type**: I4/mmm, No. 139
**Magnetization**: 0.00 μB per formula unit
**Energy of formation**: -0.13 eV per atom
**Excess energy over the best structure of this formula in the dataset**: 270 meV/atom

---

A plane-wave DFT calculation with PBE was carried out for a geometry-optimized TcHg2Sb structure.

Cell: 5.7149 5.7149 5.7149 Å, 138.33 138.33 60.40°
With the nearest neighbours (Å) after each atom.
Positions (direct):
Tc: 0.0000 0.0000 0.0000  4 Sb 2.87, 8 Hg 3.20
Hg: 0.2500 0.7500 0.5000  4 Hg 2.87, 4 Sb 3.20, 4 Tc 3.20
Hg: 0.7500 0.2500 0.5000  4 Hg 2.87, 4 Sb 3.20, 4 Tc 3.20
Sb: 0.5000 0.5000 0.0000  4 Tc 2.87, 8 Hg 3.20

Results
**VASP energy**: -12.8 eV for the cell shown
**Space-group type**: I4/mmm, No. 139
**Magnetization**: 0.60 μB per formula unit

---

A plane-wave DFT calculation with PBE was carried out for a geometry-optimized Pa6GaC structure.

Cell: 5.6099 5.8266 5.9844 Å, 97.52 106.16 101.82°
With the nearest neighbours (Å) after each atom.
Positions (direct):
Pa: 0.1166 0.2434 0.1525  1 C 2.56, 1 Pa 2.87
Pa: 0.2528 0.7933 0.4571  1 C 2.41
Pa: 0.2768 0.3599 0.7573  1 C 2.36
Pa: 0.7232 0.6401 0.2427  1 C 2.36
Pa: 0.7472 0.2067 0.5429  1 C 2.41
Pa: 0.8834 0.7566 0.8475  1 C 2.56, 1 Pa 2.87
Ga: 0.5000 0.0000 0.0000  8 Pa 2.99-3.27
C: 0.5000 0.5000 0.5000  6 Pa 2.36-2.56

Results
**VASP energy**: -69.2 eV for the cell shown
**Space-group type**: P-1, No. 2
**Magnetization**: 0.00 μB per formula unit
**Energy of formation**: 0.00 eV per atom

---

A plane-wave DFT calculation with PBE was carried out for a geometry-optimized HgAuSe2 structure.

Cell: 7.3177 7.3177 2.7360 Å, 90.28 90.28 136.64°
With the nearest neighbours (Å) after each atom.
Positions (direct):
Hg: 0.0000 0.0000 0.0000  2 Au 2.70, 2 Hg 2.74
Au: 0.5000 0.5000 0.0000  2 Hg 2.70, 2 Au 2.74
Se: 0.0000 0.5000 0.5000  4 Se 2.70-2.74
Se: 0.5000 0.0000 0.5000  4 Se 2.70-2.74

Results
**VASP energy**: -9.6 eV for the cell shown
**Space-group type**: C2/m, No. 12
**Magnetization**: 0.00 μB per formula unit

---

A plane-wave DFT calculation with PBE was carried out for a geometry-optimized Na2Tb2NpSe6 structure.

Cell: 7.1871 7.1871 7.4452 Å, 99.29 99.29 119.82°
With the nearest neighbours (Å) after each atom.
Positions (direct):
Na: 0.1685 0.8315 0.0000  6 Se 3.06-3.09
Na: 0.8315 0.1685 0.0000  6 Se 3.06-3.09
Tb: 0.3338 0.6662 0.5000  6 Se 2.88-2.90
Tb: 0.6662 0.3338 0.5000  6 Se 2.88-2.90
Np: 0.0000 0.0000 0.5000  6 Se 2.83-2.85
Se: 0.0733 0.4033 0.7255  1 Np 2.85, 2 Tb 2.88-2.90, 2 Na 3.06-3.09
Se: 0.2508 0.2508 0.2750  1 Np 2.83, 2 Tb 2.89, 2 Na 3.08
Se: 0.4033 0.0733 0.7255  1 Np 2.85, 2 Tb 2.88-2.90, 2 Na 3.06-3.09
Se: 0.5967 0.9267 0.2745  1 Np 2.85, 2 Tb 2.88-2.90, 2 Na 3.06-3.09
Se: 0.7492 0.7492 0.7250  1 Np 2.83, 2 Tb 2.89, 2 Na 3.08
Se: 0.9267 0.5967 0.2745  1 Np 2.85, 2 Tb 2.88-2.90, 2 Na 3.06-3.09

Results
**VASP energy**: -62.4 eV for the cell shown
**Space-group type**: C2/m, No. 12
**Magnetization**: 3.00 μB per formula unit

---

A plane-wave DFT calculation with PBE was carried out for a geometry-optimized BaLiMgHg2 structure.

Cell: 7.5106 7.5106 7.5106 Å, 144.53 144.53 51.03°
With the nearest neighbours (Å) after each atom.
Positions (direct):
Ba: 0.0000 0.0000 0.0000  8 Hg 3.62
Li: 0.2500 0.7500 0.5000  4 Hg 2.89
Mg: 0.7500 0.2500 0.5000  4 Hg 2.89
Hg: 0.3800 0.3800 0.0000  2 Li 2.89, 2 Mg 2.89
Hg: 0.6200 0.6200 0.0000  2 Li 2.89, 2 Mg 2.89

Results
**VASP energy**: -7.9 eV for the cell shown
**Space-group type**: I-4m2, No. 119
**Magnetization**: 0.00 μB per formula unit
**Energy of formation**: -0.37 eV per atom
**Excess energy over the best structure of this formula in the dataset**: 0 meV/atom

---

A plane-wave DFT calculation with PBE was carried out for a geometry-optimized BaLi2Sn3 structure.

Cell: 7.3955 7.3955 6.0855 Å, 90.00 90.00 77.44°
With the nearest neighbours (Å) after each atom.
Positions (direct):
Ba: 0.1624 0.8376 0.7500  9 Sn 3.64-4.01, 4 Li 3.92
Ba: 0.8376 0.1624 0.2500  9 Sn 3.64-4.01, 4 Li 3.92
Li: 0.2845 0.2845 0.0000  6 Sn 2.81-2.96, 2 Li 3.04
Li: 0.2845 0.2845 0.5000  6 Sn 2.81-2.96, 2 Li 3.04
Li: 0.7155 0.7155 0.0000  6 Sn 2.81-2.96, 2 Li 3.04
Li: 0.7155 0.7155 0.5000  6 Sn 2.81-2.96, 2 Li 3.04
Sn: 0.0342 0.5759 0.2500  4 Li 2.81-2.94, 1 Sn 3.00
Sn: 0.4241 0.9658 0.2500  4 Li 2.81-2.94, 1 Sn 3.00
Sn: 0.4441 0.5559 0.2500  4 Li 2.96, 4 Sn 3.00-3.21
Sn: 0.5559 0.4441 0.7500  4 Li 2.96, 4 Sn 3.00-3.21
Sn: 0.5759 0.0342 0.7500  4 Li 2.81-2.94, 1 Sn 3.00
Sn: 0.9658 0.4241 0.7500  4 Li 2.81-2.94, 1 Sn 3.00

Results
**VASP energy**: -40.8 eV for the cell shown
**Space-group type**: Cmcm, No. 63
**Magnetization**: 0.00 μB per formula unit
**Energy of formation**: -0.44 eV per atom

---

A plane-wave DFT calculation with PBE was carried out for a geometry-optimized TmInPd5 structure.

Cell: 5.7538 5.7538 5.7538 Å, 124.38 104.73 100.44°
With the nearest neighbours (Å) after each atom.
Positions (direct):
Tm: 0.0000 0.0000 0.0000  3 Pd 2.55-2.69
In: 0.6557 0.1557 0.5000  6 Pd 2.68-2.84
Pd: 0.1677 0.4820 0.6857  2 Pd 2.54-2.61, 1 In 2.73
Pd: 0.3135 0.0570 0.7435  5 Pd 2.61-2.88, 1 Tm 2.69, 1 In 2.84
Pd: 0.3135 0.5701 0.2565  5 Pd 2.61-2.88, 1 Tm 2.69, 1 In 2.84
Pd: 0.6534 0.6534 0.0000  2 Pd 2.54, 1 Tm 2.55, 2 In 2.68
Pd: 0.7964 0.4820 0.3143  2 Pd 2.54-2.61, 1 In 2.73

Results
**VASP energy**: -35.3 eV for the cell shown
**Space-group type**: Imm2, No. 44
**Magnetization**: 0.00 μB per formula unit
**Energy of formation**: -0.30 eV per atom

---

A plane-wave DFT calculation with PBE was carried out for a geometry-optimized Pu2IrI structure.

Cell: 8.2520 8.2520 8.2520 Å, 28.61 28.61 28.61°
With the nearest neighbours (Å) after each atom.
Positions (direct):
Pu: 0.2294 0.2294 0.2294  3 Ir 2.79
Pu: 0.7706 0.7706 0.7706  3 Ir 2.79
Ir: 0.5000 0.5000 0.5000  6 Pu 2.79
I: 0.0000 0.0000 0.0000  6 Pu 3.41

Results
**VASP energy**: -41.5 eV for the cell shown
**Space-group type**: R-3m, No. 166
**Magnetization**: 10.60 μB per formula unit
**Excess energy over the best structure of this formula in the dataset**: 0 meV/atom